The following is a PBE-GGA calculation of a relaxed LiSc2Mo crystal, from Alexandria.

a b c (Å): 4.811 4.811 5.939
angles (deg): 83.19 83.19 35.19
Element x y z (fractional)
Sc1 0.993 0.993 0.019
Sc2 0.507 0.507 0.481
Mo1 0.250 0.250 0.250
Li1 0.750 0.750 0.750

Values from the calculation:
SG ... C2/m, No. 12
ΔE to the lowest computed polymorph ... 0.185 eV per atom
Calculated formation energy ... 0.303 eV per atom


The following is a PBE-GGA calculation of a relaxed LiScMo crystal, from Alexandria.

a b c (Å): 4.758 4.758 2.624
angles (deg): 90.00 90.00 120.00
Element x y z (fractional)
Mo1 0.667 0.333 0.271
Sc1 0.333 0.667 0.735
Li1 0.000 0.000 0.994

Values from the calculation:
SG ... P3m1, No. 156
ΔE to the lowest computed polymorph ... 0.333 eV per atom
Calculated formation energy ... 0.342 eV per atom


The following is a PBE-GGA calculation of a relaxed LiSc3Mo crystal, from Alexandria.

a b c (Å): 4.723 4.723 4.723
angles (deg): 90.00 90.00 90.00
Last column: magnetic moment on the atom in μB.
Element x y z (fractional)
Li1 0.000 0.000 0.000  -0.03
Sc1 0.000 0.500 0.000  -0.18
Sc2 0.000 0.000 0.500  -0.20
Sc3 0.500 0.000 0.000  -0.14
Mo1 0.500 0.500 0.500  1.25

Values from the calculation:
SG ... Pm-3m, No. 221
ΔE to the lowest computed polymorph ... 0.520 eV per atom
Calculated formation energy ... 0.968 eV per atom


> Look up the ΔE to the lowest computed polymorph of the second one.

0.333 eV per atom


> Among the records above, which one has the highest ΔE to the lowest computed polymorph?

LiSc3Mo